# 1
Entry from Alexandria via LeMat-Bulk: Pm6Nd2Ho3Tm after structural relaxation (PBE-GGA).

a b c (Å): 6.259 6.259 11.929
angles (deg): 95.01 95.01 119.99
Sites, in units of the cell vectors:
1 Pm 0.916 0.584 0.747
2 Pm 0.752 0.752 0.253
3 Pm 0.084 0.416 0.253
4 Pm 0.584 0.916 0.747
5 Pm 0.248 0.248 0.747
6 Pm 0.416 0.084 0.253
7 Nd 0.333 0.667 0.000
8 Nd 0.667 0.333 0.000
9 Ho 0.166 0.834 0.500
10 Ho 0.834 0.166 0.500
11 Ho 0.500 0.500 0.500
12 Tm 0.000 0.000 0.000

Computed properties:
Crystal system: monoclinic
DFT formation energy in eV per atom: 0.015

***

# 2
Entry from Alexandria via LeMat-Bulk: YErAlAu after structural relaxation (PBE-GGA).

a b c (Å): 5.112 5.112 5.112
angles (deg): 60.00 60.00 60.00
Sites, in units of the cell vectors:
1 Y 0.750 0.750 0.750
2 Au 0.000 0.000 0.000
3 Al 0.500 0.500 0.500
4 Er 0.250 0.250 0.250

Computed properties:
Crystal system: cubic
DFT formation energy in eV per atom: -0.586
ΔE to the lowest computed polymorph in meV/atom: 47

***

# 3
Entry from Alexandria via LeMat-Bulk: Al3InAu10 after structural relaxation (PBE-GGA).

a b c (Å): 9.152 9.155 9.157
angles (deg): 59.96 60.01 60.03
Sites, in units of the cell vectors:
1 Al 0.728 0.728 0.272
2 Al 0.728 0.272 0.728
3 Al 0.272 0.728 0.728
4 Al 0.272 0.272 0.728
5 Al 0.728 0.272 0.272
6 Al 0.272 0.728 0.272
7 In 0.250 0.250 0.250
8 In 0.750 0.750 0.750
9 Au 0.000 0.000 0.341
10 Au 0.000 0.341 0.000
11 Au 0.341 0.000 0.000
12 Au 0.659 0.341 0.000
13 Au 0.378 0.378 0.378
14 Au 0.133 0.622 0.622
15 Au 0.378 0.867 0.378
16 Au 0.659 0.000 0.341
17 Au 0.378 0.378 0.867
18 Au 0.867 0.378 0.378
19 Au 0.622 0.622 0.133
20 Au 0.000 0.000 0.659
21 Au 0.341 0.659 0.000
22 Au 0.000 0.659 0.341
23 Au 0.000 0.341 0.659
24 Au 0.659 0.000 0.000
25 Au 0.622 0.622 0.622
26 Au 0.000 0.659 0.000
27 Au 0.622 0.133 0.622
28 Au 0.341 0.000 0.659

Computed properties:
Crystal system: orthorhombic
DFT formation energy in eV per atom: -0.146

***

# 4
Entry from Alexandria via LeMat-Bulk: Pm4B3TeRh12 after structural relaxation (PBE-GGA).

a b c (Å): 7.609 7.609 7.609
angles (deg): 109.47 109.47 109.47
Sites, in units of the cell vectors:
1 Pm 0.500 0.500 0.500
2 Pm 0.000 0.000 0.500
3 Pm 0.500 0.000 0.000
4 Pm 0.000 0.500 0.000
5 B 0.500 0.000 0.500
6 B 0.500 0.500 0.000
7 B 0.000 0.500 0.500
8 Te 0.000 0.000 0.000
9 Rh 0.250 0.500 0.750
10 Rh 0.723 0.000 0.723
11 Rh 0.277 0.000 0.277
12 Rh 0.750 0.500 0.250
13 Rh 0.723 0.723 0.000
14 Rh 0.277 0.277 0.000
15 Rh 0.750 0.250 0.500
16 Rh 0.250 0.750 0.500
17 Rh 0.500 0.250 0.750
18 Rh 0.000 0.723 0.723
19 Rh 0.500 0.750 0.250
20 Rh 0.000 0.277 0.277

Computed properties:
Crystal system: cubic
Formation energy without anion corrections in kJ/mol of formula units: -1093

***

# 5
Entry from Alexandria via LeMat-Bulk: Na3CN2 after structural relaxation (PBE-GGA).

a b c (Å): 4.404 6.698 9.454
angles (deg): 110.75 103.47 90.00
Sites, in units of the cell vectors:
1 Na 0.500 0.250 0.000
2 Na 0.500 0.750 0.000
3 Na 0.843 0.093 0.686
4 Na 0.157 0.407 0.314
5 Na 0.157 0.907 0.314
6 Na 0.843 0.593 0.686
7 C 0.000 0.500 0.000
8 C 0.000 0.000 0.000
9 N 0.783 0.439 0.879
10 N 0.904 0.061 0.121
11 N 0.096 0.939 0.879
12 N 0.217 0.561 0.121

Computed properties:
Crystal system: orthorhombic
Formation energy without anion corrections in kJ/mol of formula units: -171

***

# 6
Entry from Alexandria via LeMat-Bulk: CdCuRe2 after structural relaxation (PBE-GGA).

a b c (Å): 9.292 9.292 9.292
angles (deg): 17.41 17.41 17.41
Sites, in units of the cell vectors:
1 Cd 0.497 0.497 0.497
2 Cu 0.746 0.746 0.746
3 Re 0.000 0.000 0.000
4 Re 0.257 0.257 0.257

Computed properties:
Crystal system: trigonal
DFT formation energy in eV per atom: 0.188